Record 1
Here is a geometry-optimized Pr5Nd4Th2 structure from Alexandria via LeMat-Bulk. Energies are from PBE-GGA.

Output
The value obtained for the total DFT energy (no corrections) is -0.1885 hartree per atom. Its crystal system is monoclinic.

Geometry as CIF:
```
data_Pr5Nd4Th2
_cell_length_a 9.134
_cell_length_b 3.543
_cell_length_c 12.099
_cell_angle_alpha 90.00
_cell_angle_beta 94.14
_cell_angle_gamma 90.00
_space_group_name_H-M_alt 'P 1 2/m 1'
_space_group_IT_number 10
loop_
_space_group_symop_operation_xyz
'x,y,z'
'-x,-y,-z'
'-x,y,-z'
'x,-y,z'
loop_
_atom_site_label
_atom_site_fract_x
_atom_site_fract_y
_atom_site_fract_z
Pr1 0.000 0.000 0.000
Pr2 0.083 0.000 0.287
Pr3 0.305 0.000 0.829
Nd1 0.198 0.500 0.548
Nd2 0.345 0.500 0.105
Th1 0.454 0.000 0.371
```

Record 2
Here is a geometry-optimized Pr12Nd5Th2 structure from Alexandria via LeMat-Bulk. Energies are from PBE-GGA.

Output
The value obtained for the total DFT energy (no corrections) is -0.1814 hartree per atom. The value obtained for the relative energy among the computed polymorphs is 0 meV per atom. Its crystal system is monoclinic.

Geometry as CIF:
```
data_Pr12Nd5Th2
_cell_length_a 18.441
_cell_length_b 11.948
_cell_length_c 6.328
_cell_angle_alpha 90.00
_cell_angle_beta 103.22
_cell_angle_gamma 90.00
_space_group_name_H-M_alt 'C 1 2/m 1'
_space_group_IT_number 12
loop_
_space_group_symop_operation_xyz
'x,y,z'
'-x,-y,-z'
'-x,y,-z'
'x,-y,z'
'x+1/2,y+1/2,z'
'-x+1/2,-y+1/2,-z'
'-x+1/2,y+1/2,-z'
'x+1/2,-y+1/2,z'
loop_
_atom_site_label
_atom_site_fract_x
_atom_site_fract_y
_atom_site_fract_z
Pr1 0.054 0.000 0.266
Pr2 0.101 0.246 0.610
Pr3 0.116 0.500 0.999
Pr4 0.198 0.244 0.200
Nd1 0.000 0.500 0.500
Nd2 0.179 0.000 0.853
Nd3 0.213 0.500 0.557
Th1 0.000 0.267 0.000
```

Record 3
Here is a geometry-optimized Pr2Nd9Th structure from Alexandria via LeMat-Bulk. Energies are from PBE-GGA.

Output
The value obtained for the total DFT energy (no corrections) is -0.1825 hartree per atom. Its crystal system is tetragonal.

Geometry as CIF:
```
data_Pr2Nd9Th
_cell_length_a 5.199
_cell_length_b 5.199
_cell_length_c 15.594
_cell_angle_alpha 90.00
_cell_angle_beta 90.00
_cell_angle_gamma 90.00
_space_group_name_H-M_alt 'P 4/m m m'
_space_group_IT_number 123
_space_group_name_Hall '-P 4 2'
loop_
_atom_site_label
_atom_site_fract_x
_atom_site_fract_y
_atom_site_fract_z
Pr1 0.000 0.000 0.168
Nd1 0.000 0.500 0.000
Nd2 0.000 0.500 0.338
Nd3 0.500 0.500 0.167
Nd4 0.500 0.500 0.500
Th1 0.000 0.000 0.500
```

Record 4
Here is a geometry-optimized PrNd14Th structure from Alexandria via LeMat-Bulk. Energies are from PBE-GGA.

Output
The value obtained for the total DFT energy (no corrections) is -0.1805 hartree per atom. Its crystal system is orthorhombic.

Geometry as CIF:
```
data_PrNd14Th
_cell_length_a 10.438
_cell_length_b 10.389
_cell_length_c 10.388
_cell_angle_alpha 90.00
_cell_angle_beta 90.00
_cell_angle_gamma 90.00
_space_group_name_H-M_alt 'A m m 2'
_space_group_IT_number 38
loop_
_space_group_symop_operation_xyz
'x,y,z'
'-x,-y,z'
'-x,y,z'
'x,-y,z'
'x,y+1/2,z+1/2'
'-x,-y+1/2,z+1/2'
'-x,y+1/2,z+1/2'
'x,-y+1/2,z+1/2'
loop_
_atom_site_label
_atom_site_fract_x
_atom_site_fract_y
_atom_site_fract_z
Pr1 0.000 0.000 0.000
Nd1 0.000 0.250 0.250
Nd2 0.248 0.000 0.254
Nd3 0.248 0.000 0.747
Nd4 0.248 0.246 0.500
Nd5 0.500 0.000 0.001
Nd6 0.500 0.000 0.500
Nd7 0.500 0.250 0.250
Th1 0.000 0.000 0.501
```

Record 5
Here is a geometry-optimized Pr12Nd2Th structure from Alexandria via LeMat-Bulk. Energies are from PBE-GGA.

Output
The value obtained for the total DFT energy (no corrections) is -0.1700 hartree per atom. Its crystal system is tetragonal.

Geometry as CIF:
```
data_Pr12Nd2Th
_cell_length_a 6.668
_cell_length_b 6.668
_cell_length_c 25.651
_cell_angle_alpha 90.00
_cell_angle_beta 90.00
_cell_angle_gamma 90.00
_space_group_name_H-M_alt 'P 4/n b m'
_space_group_IT_number 125
loop_
_space_group_symop_operation_xyz
'x,y,z'
'-x,-y,-z'
'-y+1/2,x,z'
'y+1/2,-x,-z'
'-x+1/2,-y+1/2,z'
'x+1/2,y+1/2,-z'
'y,-x+1/2,z'
'-y,x+1/2,-z'
'x,-y+1/2,-z'
'-x,y+1/2,z'
'-y+1/2,-x+1/2,-z'
'y+1/2,x+1/2,z'
'-x+1/2,y,-z'
'x+1/2,-y,z'
'y,x,-z'
'-y,-x,z'
loop_
_atom_site_label
_atom_site_fract_x
_atom_site_fract_y
_atom_site_fract_z
Pr1 0.060 0.560 0.110
Pr2 0.082 0.582 0.437
Pr3 0.250 0.250 0.213
Pr4 0.250 0.250 0.337
Nd1 0.250 0.750 0.266
Th1 0.250 0.750 0.000
```

Record 6
Here is a geometry-optimized Pr3Nd3Th structure from Alexandria via LeMat-Bulk. Energies are from PBE-GGA.

Output
The value obtained for the total DFT energy (no corrections) is -0.1842 hartree per atom. Its crystal system is monoclinic.

Geometry as CIF:
```
data_Pr3Nd3Th
_cell_length_a 11.642
_cell_length_b 3.644
_cell_length_c 11.974
_cell_angle_alpha 90.00
_cell_angle_beta 91.40
_cell_angle_gamma 90.00
_space_group_name_H-M_alt 'P 1 21/m 1'
_space_group_IT_number 11
loop_
_space_group_symop_operation_xyz
'x,y,z'
'-x,-y,-z'
'-x,y+1/2,-z'
'x,-y+1/2,z'
loop_
_atom_site_label
_atom_site_fract_x
_atom_site_fract_y
_atom_site_fract_z
Pr1 0.018 0.250 0.364
Pr2 0.050 0.250 0.890
Pr3 0.448 0.250 0.884
Nd1 0.244 0.250 0.681
Nd2 0.258 0.250 0.148
Nd3 0.265 0.750 0.425
Th1 0.493 0.750 0.628
```